# 1
BeCdTe2: optimized geometry, PBE.

Computed properties:
**Calculated total energy**: -2.750 eV per atom
**Space group**: No. 141
**Total magnetic moment**: 0.00 μB per cell
**Energy above the lowest structure with this stoichiometry**: 369 meV per atom
**Calculated volume**: 24.5 A^3/atom

abc: 7.044 7.044 7.044
angles: 130.75 130.75 72.21
Positions (direct):
Be 0.375 0.625 0.750
Be 0.625 0.375 0.250
Cd 0.125 0.875 0.250
Cd 0.875 0.125 0.750
Te 0.154 0.404 0.750
Te 0.404 0.154 0.250
Te 0.596 0.846 0.750
Te 0.846 0.596 0.250

# 2
BeCdTe2: optimized geometry, PBE.

Computed properties:
**Calculated total energy**: -3.097 eV per atom
**Space group**: No. 4
**Total magnetic moment**: 0.00 μB per cell
**Energy above the lowest structure with this stoichiometry**: 22 meV per atom
**Calculated volume**: 28.7 A^3/atom

abc: 4.275 6.131 8.748
angles: 90.00 90.03 90.00
Positions (direct):
Be 0.250 0.000 0.109
Be 0.750 0.500 0.891
Cd 0.248 0.001 0.645
Cd 0.752 0.501 0.355
Te 0.250 0.721 0.904
Te 0.251 0.801 0.351
Te 0.749 0.301 0.649
Te 0.750 0.221 0.096

# 3
BeCdTe2: optimized geometry, PBE.

Computed properties:
**Calculated total energy**: -3.098 eV per atom
**Space group**: No. 26
**Total magnetic moment**: 0.00 μB per cell
**Energy above the lowest structure with this stoichiometry**: 21 meV per atom
**Calculated volume**: 28.8 A^3/atom

abc: 4.254 7.589 7.129
angles: 90.00 90.00 90.00
Positions (direct):
Be 0.000 0.155 0.000
Be 0.000 0.845 0.500
Cd 0.500 0.329 0.493
Cd 0.500 0.671 0.993
Te 0.000 0.133 0.653
Te 0.000 0.867 0.153
Te 0.500 0.308 0.095
Te 0.500 0.692 0.595

# 4
BeCdTe2: optimized geometry, PBE.

Computed properties:
**Calculated total energy**: -2.401 eV per atom
**Space group**: No. 47
**Total magnetic moment**: 0.00 μB per cell
**Energy above the lowest structure with this stoichiometry**: 718 meV per atom
**Calculated volume**: 30.9 A^3/atom

abc: 3.878 3.953 8.061
angles: 90.00 90.00 90.00
Positions (direct):
Be 0.000 0.000 0.000
Cd 0.000 0.500 0.500
Te 0.500 0.000 0.500
Te 0.500 0.500 0.000

# 5
BeCdTe2: optimized geometry, PBE.

Computed properties:
**Calculated total energy**: -2.985 eV per atom
**Space group**: No. 72
**Total magnetic moment**: 0.00 μB per cell
**Energy above the lowest structure with this stoichiometry**: 135 meV per atom
**Calculated volume**: 30.4 A^3/atom

abc: 7.776 7.776 7.776
angles: 133.46 67.91 133.49
Positions (direct):
Be 0.250 0.250 0.000
Be 0.750 0.750 0.000
Cd 0.250 0.750 0.500
Cd 0.750 0.250 0.500
Te 0.125 0.197 0.321
Te 0.375 0.697 0.072
Te 0.625 0.303 0.928
Te 0.875 0.803 0.679

# 6
BeCdTe2: optimized geometry, PBE.

Computed properties:
**Calculated total energy**: -2.923 eV per atom
**Space group**: No. 156
**Total magnetic moment**: 0.00 μB per cell
**Energy above the lowest structure with this stoichiometry**: 197 meV per atom
**Calculated volume**: 27.2 A^3/atom

abc: 4.249 4.249 6.965
angles: 90.00 90.00 120.00
Positions (direct):
Be 0.000 0.000 0.000
Cd 0.667 0.333 0.539
Te 0.000 0.000 0.347
Te 0.333 0.667 0.883

# 7
BeCdTe2: optimized geometry, PBE.

Computed properties:
**Calculated total energy**: -2.583 eV per atom
**Space group**: No. 71
**Total magnetic moment**: 0.00 μB per cell
**Energy above the lowest structure with this stoichiometry**: 537 meV per atom
**Calculated volume**: 31.1 A^3/atom

abc: 6.065 6.065 6.065
angles: 144.10 98.19 92.73
Positions (direct):
Be 0.000 0.000 0.000
Cd 0.500 0.000 0.500
Te 0.209 0.500 0.709
Te 0.791 0.500 0.291

# 8
BeCdTe2: optimized geometry, PBE.

Computed properties:
**Calculated total energy**: -2.216 eV per atom
**Space group**: No. 123
**Total magnetic moment**: 0.00 μB per cell
**Energy above the lowest structure with this stoichiometry**: 903 meV per atom
**Calculated volume**: 23.6 A^3/atom

abc: 5.057 5.057 3.689
angles: 90.00 90.00 90.00
Positions (direct):
Be 0.000 0.000 0.000
Cd 0.500 0.500 0.000
Te 0.000 0.500 0.500
Te 0.500 0.000 0.500

# 9
BeCdTe2: optimized geometry, PBE.

Computed properties:
**Calculated total energy**: -3.036 eV per atom
**Space group**: No. 15
**Total magnetic moment**: 0.00 μB per cell
**Energy above the lowest structure with this stoichiometry**: 84 meV per atom
**Calculated volume**: 30.2 A^3/atom

abc: 8.600 8.600 13.689
angles: 98.09 98.09 76.30
Positions (direct):
Be 0.047 0.208 0.873
Be 0.142 0.686 0.833
Be 0.208 0.047 0.373
Be 0.314 0.858 0.667
Be 0.686 0.142 0.333
Be 0.792 0.953 0.627
Be 0.858 0.314 0.167
Be 0.953 0.792 0.127
Cd 0.065 0.619 0.411
Cd 0.307 0.448 0.122
Cd 0.381 0.935 0.089
Cd 0.448 0.307 0.622
Cd 0.552 0.693 0.378
Cd 0.619 0.065 0.911
Cd 0.693 0.552 0.878
Cd 0.935 0.381 0.589
Te 0.009 0.535 0.208
Te 0.048 0.952 0.750
Te 0.175 0.731 0.017
Te 0.192 0.302 0.473
Te 0.269 0.825 0.483
Te 0.302 0.192 0.973
Te 0.397 0.603 0.750
Te 0.465 0.991 0.292
Te 0.535 0.009 0.708
Te 0.603 0.397 0.250
Te 0.698 0.808 0.027
Te 0.731 0.175 0.517
Te 0.808 0.698 0.527
Te 0.825 0.269 0.983
Te 0.952 0.048 0.250
Te 0.991 0.465 0.792

# 10
BeCdTe2: optimized geometry, PBE.

Computed properties:
**Calculated total energy**: -2.380 eV per atom
**Space group**: No. 119
**Total magnetic moment**: 0.00 μB per cell
**Energy above the lowest structure with this stoichiometry**: 739 meV per atom
**Calculated volume**: 27.0 A^3/atom

abc: 7.420 7.420 7.420
angles: 148.98 148.98 44.44
Positions (direct):
Be 0.000 0.000 0.000
Cd 0.250 0.750 0.500
Te 0.500 0.500 0.000
Te 0.750 0.250 0.500

# 11
BeCdTe2: optimized geometry, PBE.

Computed properties:
**Calculated total energy**: -2.717 eV per atom
**Space group**: No. 63
**Total magnetic moment**: 0.00 μB per cell
**Energy above the lowest structure with this stoichiometry**: 402 meV per atom
**Calculated volume**: 32.3 A^3/atom

abc: 13.944 13.944 4.692
angles: 90.00 90.00 163.53
Positions (direct):
Be 0.161 0.839 0.750
Be 0.839 0.161 0.250
Cd 0.465 0.535 0.750
Cd 0.535 0.465 0.250
Te 0.249 0.751 0.750
Te 0.384 0.616 0.250
Te 0.616 0.384 0.750
Te 0.751 0.249 0.250

# 12
BeCdTe: optimized geometry, PBE.

Computed properties:
**Calculated total energy**: -2.238 eV per atom
**Space group**: No. 42
**Total magnetic moment**: 0.00 μB per cell
**Energy above the lowest structure with this stoichiometry**: 279 meV per atom
**Calculated volume**: 23.7 A^3/atom

abc: 6.859 6.442 3.577
angles: 80.94 68.06 31.00
Positions (direct):
Be 0.000 0.000 0.000
Cd 0.348 0.348 0.652
Te 0.617 0.617 0.383

# 13
BeCdTe: optimized geometry, PBE.

Computed properties:
**Calculated total energy**: -2.351 eV per atom
**Space group**: No. 107
**Total magnetic moment**: 0.00 μB per cell
**Energy above the lowest structure with this stoichiometry**: 165 meV per atom
**Calculated volume**: 26.0 A^3/atom

abc: 6.501 6.501 6.501
angles: 147.72 147.72 46.30
Positions (direct):
Be 0.000 0.000 0.000
Cd 0.205 0.205 0.000
Te 0.452 0.452 0.000

# 14
Be3CdTe: optimized geometry, PBE.

Computed properties:
**Calculated total energy**: -1.999 eV per atom
**Space group**: No. 221
**Total magnetic moment**: 0.00 μB per cell
**Energy above the lowest structure with this stoichiometry**: 0 meV per atom
**Calculated volume**: 18.9 A^3/atom

abc: 4.558 4.558 4.558
angles: 90.00 90.00 90.00
Positions (direct):
Be 0.000 0.000 0.500
Be 0.000 0.500 0.000
Be 0.500 0.000 0.000
Cd 0.000 0.000 0.000
Te 0.500 0.500 0.500

# 15
BeCdTe2: optimized geometry, PBE.

Computed properties:
**Calculated total energy**: -3.081 eV per atom
**Space group**: No. 6
**Total magnetic moment**: 0.00 μB per cell
**Energy above the lowest structure with this stoichiometry**: 38 meV per atom
**Calculated volume**: 28.9 A^3/atom

abc: 4.274 4.274 6.325
angles: 90.00 90.03 90.00
Positions (direct):
Be 0.000 0.000 0.000
Cd 0.498 0.500 0.500
Te 0.500 0.000 0.208
Te 0.999 0.500 0.792

# 16
BeCdTe2: optimized geometry, PBE.

Computed properties:
**Calculated total energy**: -2.851 eV per atom
**Space group**: No. 156
**Total magnetic moment**: 0.00 μB per cell
**Energy above the lowest structure with this stoichiometry**: 268 meV per atom
**Calculated volume**: 27.7 A^3/atom

abc: 4.165 4.165 7.370
angles: 90.00 90.00 120.00
Positions (direct):
Be 0.000 0.000 0.000
Cd 0.333 0.667 0.512
Te 0.333 0.667 0.900
Te 0.667 0.333 0.313

# 17
BeCdTe2: optimized geometry, PBE.

Computed properties:
**Calculated total energy**: -3.099 eV per atom
**Space group**: No. 8
**Total magnetic moment**: 0.00 μB per cell
**Energy above the lowest structure with this stoichiometry**: 21 meV per atom
**Calculated volume**: 28.7 A^3/atom

abc: 7.438 7.438 7.629
angles: 98.51 98.51 33.40
Positions (direct):
Be 0.000 0.000 0.000
Be 0.741 0.741 0.227
Cd 0.249 0.249 0.746
Cd 0.489 0.489 0.474
Te 0.048 0.048 0.707
Te 0.287 0.287 0.391
Te 0.565 0.565 0.150
Te 0.825 0.825 0.967

# 18
BeCdTe2: optimized geometry, PBE.

Computed properties:
**Calculated total energy**: -3.003 eV per atom
**Space group**: No. 62
**Total magnetic moment**: 0.00 μB per cell
**Energy above the lowest structure with this stoichiometry**: 116 meV per atom
**Calculated volume**: 33.6 A^3/atom

abc: 10.777 4.304 11.579
angles: 90.00 90.00 90.00
Positions (direct):
Be 0.111 0.250 0.045
Be 0.389 0.750 0.545
Be 0.611 0.250 0.455
Be 0.889 0.750 0.955
Cd 0.051 0.250 0.640
Cd 0.449 0.750 0.140
Cd 0.551 0.250 0.860
Cd 0.949 0.750 0.360
Te 0.027 0.750 0.128
Te 0.166 0.750 0.525
Te 0.334 0.250 0.025
Te 0.473 0.250 0.628
Te 0.527 0.750 0.372
Te 0.666 0.750 0.975
Te 0.834 0.250 0.475
Te 0.973 0.250 0.872

# 19
BeCd3Te: optimized geometry, PBE.

Computed properties:
**Calculated total energy**: -0.984 eV per atom
**Space group**: No. 221
**Total magnetic moment**: 0.00 μB per cell
**Energy above the lowest structure with this stoichiometry**: 650 meV per atom
**Calculated volume**: 40.0 A^3/atom

abc: 5.850 5.850 5.850
angles: 90.00 90.00 90.00
Positions (direct):
Be 0.000 0.000 0.000
Cd 0.000 0.500 0.500
Cd 0.500 0.000 0.500
Cd 0.500 0.500 0.000
Te 0.500 0.500 0.500

# 20
BeCd4Te: optimized geometry, PBE.

Computed properties:
**Calculated total energy**: -1.253 eV per atom
**Space group**: No. 216
**Total magnetic moment**: 0.00 μB per cell
**Calculated volume**: 23.6 A^3/atom

abc: 5.851 5.851 5.851
angles: 60.00 60.00 60.00
Positions (direct):
Be 0.000 0.000 0.000
Cd 0.124 0.625 0.625
Cd 0.625 0.124 0.625
Cd 0.625 0.625 0.124
Cd 0.625 0.625 0.625
Te 0.250 0.250 0.250